The following is a DFT calculation (PBE) of an optimized crystal structure of LiBe2P.

Total magnetic moment ... 0.00 μB/atom
Formation energy ... 0.0940 eV/atom
VASP energy ... -14.40 eV/f.u.

Structure (POSCAR):
```
LiBe2P
1.0
4.280 -0.003 -0.004
1.467 4.020 0.004
-2.871 -2.013 2.454
Be Li P
2 1 1
direct
0.000 0.000 0.000
0.500 0.500 0.000
0.750 0.250 0.500
0.250 0.750 0.500
```